# TiBS, optimized geometry, DFT PBE
# - DOS(E_F) (states/eV/f.u.) = 0.65
# - volume (Å³ per cell) = 171.6
# - magnetization (μB per formula unit) = 0.0
# - E (eV per atom) = -7.2727
data_TiBS
_chemical_formula_sum 'Ti4 B4 S4'
_space_group_name_H-M_alt 'C 1 2/m 1'
_space_group_IT_number 12
_cell_length_a 5.460
_cell_length_b 3.159
_cell_length_c 10.123
_cell_angle_alpha 90.00
_cell_angle_beta 100.59
_cell_angle_gamma 90.00
loop_
_space_group_symop_operation_xyz
'x,y,z'
'-x,-y,-z'
'-x,y,-z'
'x,-y,z'
'x+1/2,y+1/2,z'
'-x+1/2,-y+1/2,-z'
'-x+1/2,y+1/2,-z'
'x+1/2,-y+1/2,z'
loop_
_atom_site_label
_atom_site_type_symbol
_atom_site_fract_x
_atom_site_fract_y
_atom_site_fract_z
_atom_site_occupancy
Ti1 Ti 0.056 0.000 0.164 1
B1 B 0.165 0.500 0.993 1
S1 S 0.224 0.000 0.683 1